No. 1
Compound: Ba2ErCoCu2O7
Source: Alexandria via LeMat-Bulk
Functional: meta-GGA SCAN
Structure: PBEsol geometry

Unit cell a=3.8290 b=3.8299 c=11.5264 alpha=90.00 beta=90.00 gamma=90.00
Element x y z (fractional)
1 Ba 0.5000 0.5000 0.1879
2 Ba 0.5000 0.5000 0.8121
3 Er 0.5000 0.5000 0.5000
4 Co 0.0000 0.0000 0.0000
5 Cu 0.0000 0.0000 0.3672
6 Cu 0.0000 0.0000 0.6328
7 O 0.5000 0.0000 0.3785
8 O 0.5000 0.0000 0.6215
9 O 0.0000 0.0000 0.1531
10 O 0.0000 0.0000 0.8469
11 O 0.0000 0.5000 0.3794
12 O 0.0000 0.5000 0.6206
13 O 0.0000 0.5000 0.0000

Properties
- raw formation energy (eV/atom) = -2.156
- uncorrected energy (eV per atom) = -19.14
- crystal system = orthorhombic



No. 2
Compound: Eu3B6Rh8
Source: Alexandria via LeMat-Bulk
Functional: meta-GGA SCAN
Structure: PBEsol geometry

Unit cell a=5.4845 b=5.6001 c=8.9206 alpha=81.34 beta=72.10 gamma=60.68
Element x y z (fractional)
1 Eu 0.3190 0.0000 0.3621
2 Eu 0.5000 0.0000 0.0000
3 Eu 0.6810 0.0000 0.6379
4 B 0.8334 0.3333 0.0000
5 B 0.6695 0.3182 0.3429
6 B 0.9876 0.6818 0.3429
7 B 0.0124 0.3182 0.6571
8 B 0.3305 0.6818 0.6571
9 B 0.1666 0.6667 0.0000
10 Rh 0.4147 0.5000 0.1705
11 Rh 0.5853 0.5000 0.8295
12 Rh 0.2500 0.5000 0.5000
13 Rh 0.0863 0.0000 0.8274
14 Rh 0.9137 0.0000 0.1726
15 Rh 0.9147 0.5000 0.1705
16 Rh 0.0853 0.5000 0.8295
17 Rh 0.7500 0.5000 0.5000

Properties
- formation energy from the elements (kJ/mol of atoms) = -70.9
- uncorrected energy (eV per atom) = -28.73
- crystal system = orthorhombic



No. 3
Compound: TlPb2Cl5
Source: Alexandria via LeMat-Bulk
Functional: meta-GGA SCAN
Structure: PBEsol geometry

Unit cell a=7.7936 b=8.8188 c=12.3540 alpha=90.21 beta=90.00 gamma=90.00
Element x y z (fractional)
1 Tl 0.5476 0.5112 0.6677
2 Tl 0.0476 0.4888 0.8323
3 Tl 0.4524 0.4888 0.3323
4 Tl 0.9524 0.5112 0.1677
5 Pb 0.9835 0.0049 0.1767
6 Pb 0.4835 0.9951 0.3233
7 Pb 0.0165 0.9951 0.8233
8 Pb 0.5165 0.0049 0.6767
9 Pb 0.9302 0.2531 0.4935
10 Pb 0.4302 0.7469 0.0065
11 Pb 0.0698 0.7469 0.5065
12 Pb 0.5698 0.2531 0.9935
13 Cl 0.6589 0.7772 0.1874
14 Cl 0.1589 0.2228 0.3126
15 Cl 0.3411 0.2228 0.8126
16 Cl 0.8411 0.7772 0.6874
17 Cl 0.6892 0.2310 0.2223
18 Cl 0.1892 0.7690 0.2777
19 Cl 0.3108 0.7690 0.7777
20 Cl 0.8108 0.2310 0.7223
21 Cl 0.8244 0.5413 0.4145
22 Cl 0.3244 0.4587 0.0855
23 Cl 0.1756 0.4587 0.5855
24 Cl 0.6756 0.5413 0.9145
25 Cl 0.6658 0.9574 0.9020
26 Cl 0.1658 0.0426 0.5980
27 Cl 0.3342 0.0426 0.0980
28 Cl 0.8342 0.9574 0.4020
29 Cl 0.5407 0.2216 0.4985
30 Cl 0.0407 0.7784 0.0015
31 Cl 0.4593 0.7784 0.5015
32 Cl 0.9593 0.2216 0.9985

Properties
- raw formation energy (eV/atom) = -1.222
- uncorrected energy (eV per atom) = -34.20
- crystal system = monoclinic



No. 4
Compound: KHf3H
Source: Alexandria via LeMat-Bulk
Functional: meta-GGA SCAN
Structure: PBEsol geometry

Unit cell a=4.5596 b=4.5596 c=4.5596 alpha=90.00 beta=90.00 gamma=90.00
Element x y z (fractional)
1 H 0.0000 0.0000 0.0000
2 K 0.5000 0.5000 0.5000
3 Hf 0.0000 0.5000 0.0000
4 Hf 0.0000 0.0000 0.5000
5 Hf 0.5000 0.0000 0.0000

Properties
- uncorrected energy (eV per atom) = -39.23
- crystal system = cubic



No. 5
Compound: Y2CoOs
Source: Alexandria via LeMat-Bulk
Functional: meta-GGA SCAN
Structure: PBEsol geometry

Unit cell a=4.0096 b=4.0096 c=7.1366 alpha=73.69 beta=73.69 gamma=60.00
Element x y z (fractional)
1 Y 0.9644 0.9644 0.1069
2 Y 0.7856 0.7856 0.6434
3 Os 0.2075 0.2075 0.3775
4 Co 0.5426 0.5426 0.3723

Properties
- formation energy from the elements (kJ/mol of atoms) = -21.5
- uncorrected energy (eV per atom) = -36.44
- crystal system = trigonal



No. 6
Compound: Mg4Sc5
Source: Alexandria via LeMat-Bulk
Functional: meta-GGA SCAN
Structure: PBEsol geometry

Unit cell a=6.1900 b=8.8058 c=8.8058 alpha=120.00 beta=90.00 gamma=90.00
Element x y z (fractional)
1 Mg 0.0000 0.0000 0.0000
2 Mg 0.5000 0.0000 0.0000
3 Mg 0.7500 0.0000 0.3221
4 Mg 0.7500 0.3221 0.0000
5 Mg 0.7500 0.6779 0.6779
6 Mg 0.2500 0.0000 0.6779
7 Mg 0.2500 0.6779 0.0000
8 Mg 0.2500 0.3221 0.3221
9 Sc 0.7500 0.0000 0.6497
10 Sc 0.7500 0.6497 0.0000
11 Sc 0.7500 0.3503 0.3503
12 Sc 0.2500 0.0000 0.3503
13 Sc 0.2500 0.3503 0.0000
14 Sc 0.2500 0.6497 0.6497
15 Sc 0.0000 0.3333 0.6667
16 Sc 0.5000 0.6667 0.3333
17 Sc 0.0000 0.6667 0.3333
18 Sc 0.5000 0.3333 0.6667

Properties
- formation energy from the elements (kJ/mol of atoms) = 2.9
- uncorrected energy (eV per atom) = -10.09
- crystal system = hexagonal
- energy relative to the lowest polymorph listed for this composition (eV per formula unit) = 0.386



No. 7
Compound: CaYMg6
Source: Alexandria via LeMat-Bulk
Functional: meta-GGA SCAN
Structure: PBEsol geometry

Unit cell a=4.6524 b=6.6309 c=6.6309 alpha=90.00 beta=90.00 gamma=90.00
Element x y z (fractional)
1 Y 0.5000 0.0000 0.0000
2 Ca 0.5000 0.5000 0.5000
3 Mg 0.5000 0.5000 0.0000
4 Mg 0.5000 0.0000 0.5000
5 Mg 0.0000 0.2437 0.7563
6 Mg 0.0000 0.7563 0.2437
7 Mg 0.0000 0.2437 0.2437
8 Mg 0.0000 0.7563 0.7563

Properties
- formation energy from the elements (kJ/mol of atoms) = -4.7
- uncorrected energy (eV per atom) = -8.47
- crystal system = tetragonal
- energy relative to the lowest polymorph listed for this composition (eV per formula unit) = 0.156



No. 8
Compound: Mg2TlCd
Source: Alexandria via LeMat-Bulk
Functional: meta-GGA SCAN
Structure: PBEsol geometry

Unit cell a=3.2511 b=3.2511 c=8.7411 alpha=90.00 beta=90.00 gamma=90.00
Element x y z (fractional)
1 Tl 0.0000 0.0000 0.5005
2 Mg 0.0000 0.0000 0.9917
3 Mg 0.5000 0.5000 0.2412
4 Cd 0.5000 0.5000 0.7667

Properties
- formation energy from the elements (kJ/mol of atoms) = -2.7
- uncorrected energy (eV per atom) = -28.21
- crystal system = tetragonal



Please write out number 7 again, unchanged.
Compound: CaYMg6
Source: Alexandria via LeMat-Bulk
Functional: meta-GGA SCAN
Structure: PBEsol geometry

Unit cell a=4.6524 b=6.6309 c=6.6309 alpha=90.00 beta=90.00 gamma=90.00
Element x y z (fractional)
1 Y 0.5000 0.0000 0.0000
2 Ca 0.5000 0.5000 0.5000
3 Mg 0.5000 0.5000 0.0000
4 Mg 0.5000 0.0000 0.5000
5 Mg 0.0000 0.2437 0.7563
6 Mg 0.0000 0.7563 0.2437
7 Mg 0.0000 0.2437 0.2437
8 Mg 0.0000 0.7563 0.7563

Properties
- formation energy from the elements (kJ/mol of atoms) = -4.7
- uncorrected energy (eV per atom) = -8.47
- crystal system = tetragonal
- energy relative to the lowest polymorph listed for this composition (eV per formula unit) = 0.156



Repeat the seventh record exactly.
Compound: CaYMg6
Source: Alexandria via LeMat-Bulk
Functional: meta-GGA SCAN
Structure: PBEsol geometry

Unit cell a=4.6524 b=6.6309 c=6.6309 alpha=90.00 beta=90.00 gamma=90.00
Element x y z (fractional)
1 Y 0.5000 0.0000 0.0000
2 Ca 0.5000 0.5000 0.5000
3 Mg 0.5000 0.5000 0.0000
4 Mg 0.5000 0.0000 0.5000
5 Mg 0.0000 0.2437 0.7563
6 Mg 0.0000 0.7563 0.2437
7 Mg 0.0000 0.2437 0.2437
8 Mg 0.0000 0.7563 0.7563

Properties
- formation energy from the elements (kJ/mol of atoms) = -4.7
- uncorrected energy (eV per atom) = -8.47
- crystal system = tetragonal
- energy relative to the lowest polymorph listed for this composition (eV per formula unit) = 0.156



uncorrected energy of number 8 (Mg2TlCd)?
-28.21 eV per atom